Here is a geometry-optimized Zr2TiAsPd structure from Alexandria via LeMat-Bulk. Energies are from PBE.

Results
E, eV/atom: -6.4131

Geometry as CIF:
```
data_Zr2TiAsPd
_chemical_formula_sum 'Zr2 Ti1 As1 Pd1'
_space_group_name_H-M_alt 'P 4/m m m'
_space_group_IT_number 123
_space_group_name_Hall '-P 4 2'
_cell_length_a 5.118
_cell_length_b 5.118
_cell_length_c 4.568
_cell_angle_alpha 90.00
_cell_angle_beta 90.00
_cell_angle_gamma 90.00
loop_
_atom_site_label
_atom_site_type_symbol
_atom_site_fract_x
_atom_site_fract_y
_atom_site_fract_z
_atom_site_occupancy
Zr1 Zr 0.000 0.500 0.000 1
Ti1 Ti 0.000 0.000 0.500 1
As1 As 0.500 0.500 0.500 1
Pd1 Pd 0.500 0.500 0.000 1
```


Here is a geometry-optimized Dy2HoTmSc5 structure from Alexandria via LeMat-Bulk. Energies are from PBE.

Results
E, eV/atom: -5.3818

Geometry as CIF:
```
data_Dy2HoTmSc5
_chemical_formula_sum 'Dy8 Ho4 Tm4 Sc20'
_space_group_name_H-M_alt 'C m c 21'
_space_group_IT_number 36
_cell_length_a 5.311
_cell_length_b 18.449
_cell_length_c 10.315
_cell_angle_alpha 90.00
_cell_angle_beta 90.00
_cell_angle_gamma 90.00
loop_
_space_group_symop_operation_xyz
'x,y,z'
'-x,-y,z+1/2'
'-x,y,z'
'x,-y,z+1/2'
'x+1/2,y+1/2,z'
'-x+1/2,-y+1/2,z+1/2'
'-x+1/2,y+1/2,z'
'x+1/2,-y+1/2,z+1/2'
loop_
_atom_site_label
_atom_site_type_symbol
_atom_site_fract_x
_atom_site_fract_y
_atom_site_fract_z
_atom_site_occupancy
Dy1 Dy 0.000 0.107 0.000 1
Dy2 Dy 0.000 0.113 0.590 1
Ho1 Ho 0.000 0.208 0.276 1
Tm1 Tm 0.000 0.417 0.728 1
Sc1 Sc 0.000 0.021 0.299 1
Sc2 Sc 0.000 0.287 0.565 1
Sc3 Sc 0.000 0.299 0.976 1
Sc4 Sc 0.000 0.399 0.289 1
Sc5 Sc 0.000 0.479 0.002 1
```


Here is a geometry-optimized KIn4Se7 structure from Alexandria via LeMat-Bulk. Energies are from PBE.

Results
Formation energy from raw total energies, eV/atom: -0.573

Geometry as CIF:
```
data_KIn4Se7
_chemical_formula_sum 'K2 In8 Se14'
_space_group_name_H-M_alt 'P m n 21'
_space_group_IT_number 31
_cell_length_a 16.510
_cell_length_b 6.874
_cell_length_c 6.678
_cell_angle_alpha 90.00
_cell_angle_beta 90.00
_cell_angle_gamma 90.00
loop_
_space_group_symop_operation_xyz
'x,y,z'
'-x+1/2,-y,z+1/2'
'-x,y,z'
'x+1/2,-y,z+1/2'
loop_
_atom_site_label
_atom_site_type_symbol
_atom_site_fract_x
_atom_site_fract_y
_atom_site_fract_z
_atom_site_occupancy
K1 K 0.000 0.187 0.000 1
In1 In 0.119 0.667 0.611 1
In2 In 0.250 0.183 0.595 1
Se1 Se 0.000 0.866 0.449 1
Se2 Se 0.107 0.692 0.001 1
Se3 Se 0.108 0.306 0.490 1
Se4 Se 0.238 0.193 0.997 1
```


no.,theoretical density (g/cm3)
1,5.71
2,5.81
3,4.61